# Sr2SbPtRh (GGA-PBE, relaxed)
# energy relative to the elements, uncorrected: -0.03 eV/atom
# M_tot: 0.13 μB/atom
data_Sr2SbPtRh
_symmetry_space_group_name_H-M 'P 4/m m m'
_symmetry_Int_Tables_number 123
_symmetry_space_group_name_Hall '-P 4 2'
_cell_length_a 5.7676
_cell_length_b 5.7676
_cell_length_c 4.9366
_cell_angle_alpha 90.00
_cell_angle_beta 90.00
_cell_angle_gamma 90.00
loop_
_atom_site_label
_atom_site_fract_x
_atom_site_fract_y
_atom_site_fract_z
Sr1 0.0000 0.5000 0.0000
Sb1 0.0000 0.0000 0.5000
Pt1 0.0000 0.0000 0.0000
Rh1 0.5000 0.5000 0.5000


# Sr2Sb4Pt3Rh (GGA-PBE, relaxed)
# energy relative to the elements, uncorrected: -0.76 eV/atom
# M_tot: 0.00 μB/atom
data_Sr2Sb4Pt3Rh
_symmetry_space_group_name_H-M 'P -4 m 2'
_symmetry_Int_Tables_number 115
_symmetry_space_group_name_Hall 'P -4 -2'
_cell_length_a 4.7217
_cell_length_b 4.7217
_cell_length_c 10.6049
_cell_angle_alpha 90.00
_cell_angle_beta 90.00
_cell_angle_gamma 90.00
loop_
_atom_site_label
_atom_site_fract_x
_atom_site_fract_y
_atom_site_fract_z
Sr1 0.0000 0.5000 0.2423
Sb1 0.0000 0.0000 0.5000
Sb2 0.0000 0.5000 0.8783
Sb3 0.5000 0.5000 0.5000
Pt1 0.0000 0.0000 0.0000
Pt2 0.0000 0.5000 0.6279
Rh1 0.5000 0.5000 0.0000


# Sr2Sb4PtRh3 (GGA-PBE, relaxed)
# energy relative to the elements, uncorrected: -0.73 eV/atom
# M_tot: 0.00 μB/atom
data_Sr2Sb4PtRh3
_symmetry_space_group_name_H-M 'P -4 m 2'
_symmetry_Int_Tables_number 115
_symmetry_space_group_name_Hall 'P -4 -2'
_cell_length_a 4.6516
_cell_length_b 4.6516
_cell_length_c 10.5659
_cell_angle_alpha 90.00
_cell_angle_beta 90.00
_cell_angle_gamma 90.00
loop_
_atom_site_label
_atom_site_fract_x
_atom_site_fract_y
_atom_site_fract_z
Sr1 0.0000 0.5000 0.2481
Sb1 0.0000 0.0000 0.5000
Sb2 0.0000 0.5000 0.8720
Sb3 0.5000 0.5000 0.5000
Pt1 0.5000 0.5000 0.0000
Rh1 0.0000 0.0000 0.0000
Rh2 0.0000 0.5000 0.6228


# TcSbPt2Rh (GGA-PBE, relaxed)
# energy relative to the elements, uncorrected: 1.24 eV/atom
# M_tot: 0.16 μB/atom
data_TcSbPt2Rh
_symmetry_space_group_name_H-M 'P 4/m m m'
_symmetry_Int_Tables_number 123
_symmetry_space_group_name_Hall '-P 4 2'
_cell_length_a 4.7652
_cell_length_b 4.7652
_cell_length_c 4.9882
_cell_angle_alpha 90.00
_cell_angle_beta 90.00
_cell_angle_gamma 90.00
loop_
_atom_site_label
_atom_site_fract_x
_atom_site_fract_y
_atom_site_fract_z
Tc1 0.0000 0.0000 0.0000
Sb1 0.0000 0.0000 0.5000
Pt1 0.0000 0.5000 0.0000
Rh1 0.5000 0.5000 0.5000


# USbPtRh (GGA-PBE, relaxed)
# energy relative to the elements, uncorrected: -0.44 eV/atom
# M_tot: 0.42 μB/atom
data_USbPtRh
_symmetry_space_group_name_H-M 'F -4 3 m'
_symmetry_Int_Tables_number 216
_symmetry_space_group_name_Hall 'F -4 2 3'
_cell_length_a 6.7966
_cell_length_b 6.7966
_cell_length_c 6.7966
_cell_angle_alpha 90.00
_cell_angle_beta 90.00
_cell_angle_gamma 90.00
loop_
_atom_site_label
_atom_site_fract_x
_atom_site_fract_y
_atom_site_fract_z
U1 0.0000 0.0000 0.0000
Sb1 0.0000 0.0000 0.5000
Pt1 0.2500 0.2500 0.2500
Rh1 0.2500 0.2500 0.7500


# VSb2PtRh (GGA-PBE, relaxed)
# energy relative to the elements, uncorrected: 0.79 eV/atom
# M_tot: 0.00 μB/atom
data_VSb2PtRh
_symmetry_space_group_name_H-M 'P 4/m m m'
_symmetry_Int_Tables_number 123
_symmetry_space_group_name_Hall '-P 4 2'
_cell_length_a 4.9584
_cell_length_b 4.9584
_cell_length_c 4.6337
_cell_angle_alpha 90.00
_cell_angle_beta 90.00
_cell_angle_gamma 90.00
loop_
_atom_site_label
_atom_site_fract_x
_atom_site_fract_y
_atom_site_fract_z
V1 0.0000 0.0000 0.0000
Sb1 0.0000 0.5000 0.0000
Pt1 0.0000 0.0000 0.5000
Rh1 0.5000 0.5000 0.5000


# ScPtRh2 (GGA-PBE, relaxed)
# M_tot: 0.00 μB/atom
# energy relative to the elements: -630 meV/atom
data_ScPtRh2
_symmetry_space_group_name_H-M 'C m m m'
_symmetry_Int_Tables_number 65
_symmetry_space_group_name_Hall '-C 2 2'
_cell_length_a 5.6716
_cell_length_b 7.3750
_cell_length_c 2.9824
_cell_angle_alpha 90.00
_cell_angle_beta 90.00
_cell_angle_gamma 90.00
loop_
_atom_site_label
_atom_site_fract_x
_atom_site_fract_y
_atom_site_fract_z
Sc1 0.0000 0.0000 0.0000
Pt1 0.0000 0.5000 0.0000
Rh1 0.2500 0.2500 0.5000


# ScPtRh2 (GGA-PBE, relaxed)
# M_tot: 0.00 μB/atom
# energy relative to the elements: -641 meV/atom
data_ScPtRh2
_symmetry_space_group_name_H-M 'I 4/m m m'
_symmetry_Int_Tables_number 139
_symmetry_space_group_name_Hall '-I 4 2'
_cell_length_a 4.0104
_cell_length_b 4.0104
_cell_length_c 7.7956
_cell_angle_alpha 90.00
_cell_angle_beta 90.00
_cell_angle_gamma 90.00
loop_
_atom_site_label
_atom_site_fract_x
_atom_site_fract_y
_atom_site_fract_z
Sc1 0.0000 0.0000 0.0000
Pt1 0.0000 0.0000 0.5000
Rh1 0.0000 0.5000 0.2500


# ScPtRh2 (GGA-PBE, relaxed)
# M_tot: 0.00 μB/atom
# energy relative to the elements: -648 meV/atom
data_ScPtRh2
_symmetry_space_group_name_H-M 'P 1 2/m 1'
_symmetry_Int_Tables_number 10
_symmetry_space_group_name_Hall '-P 2y'
_cell_length_a 4.6916
_cell_length_b 2.9337
_cell_length_c 4.7420
_cell_angle_alpha 90.00
_cell_angle_beta 107.11
_cell_angle_gamma 90.00
loop_
_atom_site_label
_atom_site_fract_x
_atom_site_fract_y
_atom_site_fract_z
Sc1 0.0000 0.0000 0.0000
Pt1 0.0000 0.5000 0.5000
Rh1 0.5000 0.0000 0.5000
Rh2 0.5000 0.5000 0.0000


# Sc6PtRh5 (GGA-PBE, relaxed)
# M_tot: 0.00 μB/atom
# energy relative to the elements: -1059 meV/atom
data_Sc6PtRh5
_symmetry_space_group_name_H-M 'C m m m'
_symmetry_Int_Tables_number 65
_symmetry_space_group_name_Hall '-C 2 2'
_cell_length_a 4.5316
_cell_length_b 13.5839
_cell_length_c 6.6345
_cell_angle_alpha 90.00
_cell_angle_beta 90.00
_cell_angle_gamma 90.00
loop_
_atom_site_label
_atom_site_fract_x
_atom_site_fract_y
_atom_site_fract_z
Sc1 0.0000 0.0000 0.2464
Sc2 0.0000 0.3322 0.2483
Pt1 0.0000 0.5000 0.5000
Rh1 0.0000 0.1664 0.0000
Rh2 0.0000 0.1669 0.5000
Rh3 0.0000 0.5000 0.0000


# Sc4PtRh3 (GGA-PBE, relaxed)
# M_tot: 0.00 μB/atom
# energy relative to the elements: -1070 meV/atom
data_Sc4PtRh3
_symmetry_space_group_name_H-M 'R -3 m'
_symmetry_Int_Tables_number 166
_symmetry_space_group_name_Hall '-R 3 2"'
_cell_length_a 4.5958
_cell_length_b 4.5958
_cell_length_c 22.4670
_cell_angle_alpha 90.00
_cell_angle_beta 90.00
_cell_angle_gamma 120.00
loop_
_atom_site_label
_atom_site_fract_x
_atom_site_fract_y
_atom_site_fract_z
Sc1 0.0000 0.0000 0.1240
Sc2 0.0000 0.0000 0.3741
Pt1 0.0000 0.0000 0.5000
Rh1 0.0000 0.0000 0.0000
Rh2 0.0000 0.0000 0.2504


# Sc6Pt2Rh (GGA-PBE, relaxed)
# M_tot: 0.00 μB/atom
# energy relative to the elements: -771 meV/atom
data_Sc6Pt2Rh
_symmetry_space_group_name_H-M 'P -3 m 1'
_symmetry_Int_Tables_number 164
_symmetry_space_group_name_Hall '-P 3 2"'
_cell_length_a 4.5585
_cell_length_b 4.5585
_cell_length_c 11.0702
_cell_angle_alpha 90.00
_cell_angle_beta 90.00
_cell_angle_gamma 120.00
loop_
_atom_site_label
_atom_site_fract_x
_atom_site_fract_y
_atom_site_fract_z
Sc1 0.0000 0.0000 0.2466
Sc2 0.3333 0.6667 0.4158
Sc3 0.3333 0.6667 0.9196
Pt1 0.3333 0.6667 0.6674
Rh1 0.0000 0.0000 0.0000